# 1
TmSc2PaAs4 | the Alexandria database | PBE-GGA | optimized geometry; M_tot = 0.0 μB/f.u.; space group = No. 10; VASP energy = -55.82 eV/cell; formation energy = -128 kJ/mol of atoms; V = 22.30 A^3/atom
1.0
3.998 0.000 0.000
0.000 6.857 -0.114
0.000 2.427 6.466
Sc As Tm Pa
2 4 1 1
Direct
0.500 0.000 0.500
0.000 0.000 0.000
0.000 0.237 0.256
0.500 0.239 0.754
0.500 0.761 0.246
0.000 0.763 0.744
0.000 0.500 0.500
0.500 0.500 0.000

***

# 2
Be2TcP | the Alexandria database | PBE-GGA | optimized geometry; M_tot = 0.0 μB/f.u.; space group = No. 65; VASP energy = -22.23 eV/cell; formation energy = 24 kJ/mol of atoms; V = 11.77 A^3/atom
1.0
-1.891 1.255 -1.293
-0.999 -2.274 0.811
-2.129 3.128 6.150
Be P Tc
2 1 1
Direct
0.000 0.000 0.501
0.000 0.000 0.999
0.500 0.500 0.250
0.500 0.500 0.750

***

Copy entry 2 word for word.
Be2TcP | the Alexandria database | PBE-GGA | optimized geometry; M_tot = 0.0 μB/f.u.; space group = No. 65; VASP energy = -22.23 eV/cell; formation energy = 24 kJ/mol of atoms; V = 11.77 A^3/atom
1.0
-1.891 1.255 -1.293
-0.999 -2.274 0.811
-2.129 3.128 6.150
Be P Tc
2 1 1
Direct
0.000 0.000 0.501
0.000 0.000 0.999
0.500 0.500 0.250
0.500 0.500 0.750

***

Question: Among the records above, which one has the lowest formation energy?
Answer: TmSc2PaAs4

***

Question: Among the records above, which one has the lowest VASP energy?
Answer: TmSc2PaAs4

***

Repeat the second record exactly.
Be2TcP | the Alexandria database | PBE-GGA | optimized geometry; M_tot = 0.0 μB/f.u.; space group = No. 65; VASP energy = -22.23 eV/cell; formation energy = 24 kJ/mol of atoms; V = 11.77 A^3/atom
1.0
-1.891 1.255 -1.293
-0.999 -2.274 0.811
-2.129 3.128 6.150
Be P Tc
2 1 1
Direct
0.000 0.000 0.501
0.000 0.000 0.999
0.500 0.500 0.250
0.500 0.500 0.750